1.
A geometry-optimized Ti2ReB structure, computed with GGA-PBE.

Lattice parameters (Å, degrees): 5.469 5.469 5.469 99.49 99.49 132.08
Atoms (fractional coordinates):
Ti (0.057, 0.625, 0.932)
Ti (0.375, 0.307, 0.432)
Ti (0.693, 0.125, 0.068)
Ti (0.875, 0.943, 0.568)
Re (0.250, 0.750, 0.500)
Re (0.500, 0.500, 0.000)
B (0.000, 0.000, 0.000)
B (0.750, 0.250, 0.500)

D(E_F)   4.66 states/eV per cell
Calculated formation energy   16 kJ/mol of atoms
Size of the total moment   0.00 μB per formula unit
Symmetry   I-42d, No. 122



2.
A geometry-optimized TiReB structure, computed with GGA-PBE.

Lattice parameters (Å, degrees): 5.170 3.175 9.136 90.00 90.00 90.00
Atoms (fractional coordinates):
Ti (0.250, 0.250, 0.050)
Ti (0.250, 0.750, 0.550)
Ti (0.750, 0.250, 0.450)
Ti (0.750, 0.750, 0.950)
Re (0.000, 0.250, 0.750)
Re (0.000, 0.750, 0.250)
Re (0.500, 0.250, 0.750)
Re (0.500, 0.750, 0.250)
B (0.249, 0.250, 0.360)
B (0.251, 0.750, 0.860)
B (0.749, 0.250, 0.140)
B (0.751, 0.750, 0.640)

D(E_F)   6.55 states/eV per cell
Calculated formation energy   -44 kJ/mol of atoms
Size of the total moment   0.00 μB per formula unit
ΔE to the lowest computed polymorph   0.71 eV/f.u.
Symmetry   Pnma, No. 62



3.
A geometry-optimized Ti2ReB6 structure, computed with GGA-PBE.

Lattice parameters (Å, degrees): 5.236 5.236 3.261 90.00 90.00 120.00
Atoms (fractional coordinates):
Ti (0.333, 0.667, 0.000)
Ti (0.667, 0.333, 0.000)
Re (0.000, 0.000, 0.000)
B (0.000, 0.334, 0.500)
B (0.000, 0.666, 0.500)
B (0.334, 0.000, 0.500)
B (0.334, 0.334, 0.500)
B (0.666, 0.000, 0.500)
B (0.666, 0.666, 0.500)

D(E_F)   4.01 states/eV per cell
Calculated formation energy   -66 kJ/mol of atoms
Size of the total moment   0.44 μB per formula unit
Symmetry   P6/mmm, No. 191